No. 1
Material: YCoIr2
Method: DFT, SCAN
State: single point on PBEsol structure

As for the crystal system: tetragonal. As for the excess energy over the best structure of this formula in the dataset: 0.189 eV/atom. The formation energy comes out at -0.0435 eV/atom.

The structure belongs to space group P4mm (No. 99); the cell edges are 3.167, 3.167 and 6.441 Å and the angles 90.00°, 90.00° and 90.00°. Symmetry generates all atoms from Y at (0.000, 0.000, 0.000), Co at (0.500, 0.500, 0.313), Ir at (0.000, 0.000, 0.461) and Ir at (0.500, 0.500, 0.715).

No. 2
Material: Ba2TaTiH
Method: DFT, SCAN
State: single point on PBEsol structure

As for the crystal system: tetragonal. Its total energy is -31.829 eV per atom.

The structure belongs to space group P4/mmm (No. 123); the cell edges are 6.160, 6.160 and 3.339 Å and the angles 90.00°, 90.00° and 90.00°. Symmetry generates all atoms from Ba at (0.000, 0.500, 0.000), Ta at (0.000, 0.000, 0.500), Ti at (0.500, 0.500, 0.000) and H at (0.500, 0.500, 0.500).

No. 3
Material: EuCl3
Method: DFT, SCAN
State: single point on PBEsol structure

As for the crystal system: hexagonal. As for the raw formation energy: -2.099 eV per atom.

The structure belongs to space group P6_3/m (No. 176); the cell edges are 7.3867, 7.3867 and 4.1246 Å and the angles 90.00°, 90.00° and 120.00°. Symmetry generates all atoms from Eu at (0.3333, 0.6667, 0.2500) and Cl at (0.0854, 0.3882, 0.7500).

No. 4
Material: MoPbSe2
Method: DFT, SCAN
State: single point on PBEsol structure

As for the crystal system: trigonal. As for the raw formation energy: 0.111 eV per atom.

The structure belongs to space group R3m (No. 160, hexagonal axes); the cell edges are 3.3086, 3.3086 and 27.0439 Å and the angles 90.00°, 90.00° and 120.00°. Symmetry generates all atoms from Mo at (0.0000, 0.0000, 0.0000), Pb at (0.0000, 0.0000, 0.2503), Se at (0.0000, 0.0000, 0.5046) and Se at (0.0000, 0.0000, 0.7258).

No. 5
Material: YFe3Re
Method: DFT, SCAN
State: single point on PBEsol structure

As for the crystal system: cubic. The formation energy comes out at 0.8209 eV/atom.

The structure belongs to space group Pm-3m (No. 221); the cell edges are 4.443, 4.443 and 4.443 Å and the angles 90.00°, 90.00° and 90.00°. Symmetry generates all atoms from Y at (0.000, 0.000, 0.000), Fe at (0.000, 0.500, 0.500) and Re at (0.500, 0.500, 0.500).

No. 6
Material: Ca2TlSiBi
Method: DFT, SCAN
State: single point on PBEsol structure

As for the crystal system: tetragonal. As for the raw formation energy: 0.389 eV per atom.

The structure belongs to space group P4/mmm (No. 123); the cell edges are 5.856, 5.856 and 5.698 Å and the angles 90.00°, 90.00° and 90.00°. Symmetry generates all atoms from Ca at (0.000, 0.500, 0.000), Tl at (0.000, 0.000, 0.500), Si at (0.500, 0.500, 0.500) and Bi at (0.000, 0.000, 0.000).

No. 7
Material: BaZrP4
Method: DFT, SCAN
State: single point on PBEsol structure

As for the crystal system: cubic. The formation energy comes out at 0.1167 eV/atom.

The structure belongs to space group F-43m (No. 216); the cell edges are 7.639, 7.639 and 7.639 Å and the angles 90.00°, 90.00° and 90.00°. Symmetry generates all atoms from Ba at (0.000, 0.000, 0.000), Zr at (0.250, 0.250, 0.750) and P at (0.116, 0.116, 0.384).

No. 8
Material: Ta2InAg
Method: DFT, SCAN
State: single point on PBEsol structure

As for the crystal system: tetragonal. The formation energy comes out at 0.4617 eV/atom.

The structure belongs to space group P4/mmm (No. 123); the cell edges are 3.578, 3.578 and 5.639 Å and the angles 90.00°, 90.00° and 90.00°. Symmetry generates all atoms from Ta at (0.000, 0.000, 0.249), In at (0.500, 0.500, 0.500) and Ag at (0.500, 0.500, 0.000).

What did the sixth record say?
Material: Ca2TlSiBi
Method: DFT, SCAN
State: single point on PBEsol structure

As for the crystal system: tetragonal. As for the raw formation energy: 0.389 eV per atom.

The structure belongs to space group P4/mmm (No. 123); the cell edges are 5.856, 5.856 and 5.698 Å and the angles 90.00°, 90.00° and 90.00°. Symmetry generates all atoms from Ca at (0.000, 0.500, 0.000), Tl at (0.000, 0.000, 0.500), Si at (0.500, 0.500, 0.500) and Bi at (0.000, 0.000, 0.000).